Below is crystalline DyAlIrPd at its relaxed geometry, with properties calculated at the PBE-GGA level.

Cell and atoms, written as POSCAR:
```
DyAlIrPd
1.0
4.6300 0.0000 0.0000
2.3150 4.0097 0.0000
2.3150 1.3366 3.7804
Dy Al Ir Pd
1 1 1 1
direct
0.2500 0.2500 0.2500 Dy
0.7500 0.7500 0.7500 Al
0.0000 0.0000 0.0000 Ir
0.5000 0.5000 0.5000 Pd
```

Summary:
Formation enthalpy at 0 K   -0.790 eV/atom
ρ   11.549 Mg/m³

Below is crystalline YPaZnIr at its relaxed geometry, with properties calculated at the PBE-GGA level.

Cell and atoms, written as POSCAR:
```
YPaZnIr
1.0
-1.9336 -4.2937 1.5339
0.8040 -4.1437 -2.5905
2.9509 -3.5312 1.8302
Zn Pa Ir Y
1 1 1 1
direct
0.7500 0.7500 0.7500 Zn
0.5000 0.5000 0.5000 Pa
0.2500 0.2500 0.2500 Ir
0.0000 0.0000 0.0000 Y
```

Summary:
Formation enthalpy at 0 K   -0.371 eV/atom
ρ   11.166 Mg/m³

Below is crystalline InRhS2N at its relaxed geometry, with properties calculated at the PBE-GGA level.

Cell and atoms, written as POSCAR:
```
InRhS2N
1.0
5.0321 0.0000 0.0000
0.0000 5.0321 0.0000
0.0000 0.0000 4.0069
N S In Rh
1 2 1 1
direct
0.0000 0.0000 0.5000 N
0.0000 0.5000 0.0000 S
0.5000 0.0000 0.0000 S
0.0000 0.0000 0.0000 In
0.5000 0.5000 0.5000 Rh
```

Summary:
Relative energy among the computed polymorphs   1183 meV per atom
ρ   4.842 Mg/m³

What is the formula in the third record?
InRhS2N

Number 3 is which compound?
InRhS2N

What is the ρ in the first record?
11.549 Mg/m³

Copy entry 1 word for word.
Below is crystalline DyAlIrPd at its relaxed geometry, with properties calculated at the PBE-GGA level.

Cell and atoms, written as POSCAR:
```
DyAlIrPd
1.0
4.6300 0.0000 0.0000
2.3150 4.0097 0.0000
2.3150 1.3366 3.7804
Dy Al Ir Pd
1 1 1 1
direct
0.2500 0.2500 0.2500 Dy
0.7500 0.7500 0.7500 Al
0.0000 0.0000 0.0000 Ir
0.5000 0.5000 0.5000 Pd
```

Summary:
Formation enthalpy at 0 K   -0.790 eV/atom
ρ   11.549 Mg/m³